Record 1
First-principles (PBE-GGA) data for SmYZr after structural relaxation, as listed in Alexandria via LeMat-Bulk.

abc: 3.455 3.455 16.871
angles: 89.99 89.99 59.99
Positions (direct):
Zr1 0.876 0.876 0.231
Zr2 0.210 0.210 0.909
Y1 0.543 0.543 0.070
Y2 0.877 0.877 0.572
Sm1 0.209 0.209 0.390
Sm2 0.544 0.544 0.750

DFT formation energy   0.122 eV/atom
Excess energy over the best structure of this formula in the dataset   0.024 eV/atom


Record 2
First-principles (PBE-GGA) data for LiHo3Pd4 after structural relaxation, as listed in Alexandria via LeMat-Bulk.

abc: 4.857 4.857 8.294
angles: 72.97 72.97 60.00
Positions (direct):
Ho1 0.257 0.257 0.228
Ho2 0.743 0.743 0.772
Ho3 0.500 0.500 0.500
Pd1 0.874 0.874 0.377
Pd2 0.379 0.379 0.864
Pd3 0.126 0.126 0.623
Pd4 0.621 0.621 0.136
Li1 0.000 0.000 0.000

DFT formation energy   -0.808 eV/atom


Record 3
First-principles (PBE-GGA) data for MnHgS2 after structural relaxation, as listed in Alexandria via LeMat-Bulk.

abc: 6.218 7.655 5.216
angles: 81.03 66.24 66.55
Positions (direct):
S1 0.295 0.750 0.544
S2 0.703 0.515 0.911
S3 0.124 0.511 0.173
S4 0.532 0.276 0.540
Mn1 0.407 0.513 0.296
Mn2 0.420 0.513 0.788
Hg1 0.122 0.095 0.049
Hg2 0.705 0.931 0.036

Excess energy over the best structure of this formula in the dataset   0.112 eV/atom
Raw formation energy   -0.299 eV per atom


no.,total magnetic moment (μB per atom),density of states at the Fermi level (states/eV/f.u.)
1,0.00,4.6
2,0.00,4.4
3,0.11,2.4